Entry 1:
Compound: YGa4OsRu2
Source: the Alexandria database
Functional: GGA-PBE
Structure: relaxed

Summary:
Energy in eV for the cell shown: -152.43
ρ in g/cm3: 9.47

abc: 4.2467 4.2467 25.5924
angles: 90.00 90.00 120.00
With the nearest neighbours (Å) after each atom.
Space group R-3m (No. 166, hexagonal axes)
Unique sites:
Y: 0.0000 0.0000 0.0000 (multiplicity 3)  6 Ga 2.98
Ga: 0.0000 0.0000 0.1317 (multiplicity 6)  3 Os 2.61, 4 Ru 2.63-2.75
Ga: 0.0000 0.0000 0.3998 (multiplicity 6)  3 Ru 2.55, 1 Os 2.57
Os: 0.0000 0.0000 0.5000 (multiplicity 3)  8 Ga 2.57-2.61
Ru: 0.0000 0.0000 0.2392 (multiplicity 6)  7 Ga 2.55-2.75

Entry 2:
Compound: Ga3OsS
Source: the Alexandria database
Functional: GGA-PBE
Structure: relaxed

Summary:
Raw formation energy in eV/f.u.: 5.488
ρ in g/cm3: 7.29
Polymorph energy (0 for the lowest one) in meV/atom: 821

abc: 4.6152 4.6152 4.6152
angles: 90.00 90.00 90.00
With the nearest neighbours (Å) after each atom.
Space group Pm-3m (No. 221)
Unique sites:
Ga: 0.0000 0.0000 0.5000 (multiplicity 3)  2 S 2.31
Os: 0.5000 0.5000 0.5000 (multiplicity 1)  12 Ga 3.26
S: 0.0000 0.0000 0.0000 (multiplicity 1)  6 Ga 2.31

Entry 3:
Compound: GaOsS
Source: the Alexandria database
Functional: GGA-PBE
Structure: relaxed

Summary:
Raw formation energy in eV/f.u.: 0.665
ρ in g/cm3: 10.09

abc: 11.0668 3.2721 5.3099
angles: 90.00 90.00 90.00
With the nearest neighbours (Å) after each atom.
Space group Amm2 (No. 38)
Unique sites:
Ga: 0.1626 0.0000 0.0000 (multiplicity 4)  3 Os 2.55-2.58, 3 S 2.79-2.86
Os: 0.0000 0.0000 0.6594 (multiplicity 2)  6 Ga 2.55-2.58
Os: 0.5000 0.0000 0.6794 (multiplicity 2)  6 S 2.41-2.42
S: 0.3581 0.0000 0.3319 (multiplicity 4)  3 Os 2.41-2.42

Entry 4:
Compound: Ga3OsS
Source: the Alexandria database
Functional: GGA-PBE
Structure: relaxed

Summary:
Raw formation energy in eV/f.u.: 1.382
ρ in g/cm3: 6.45
Polymorph energy (0 for the lowest one) in meV/atom: 0

abc: 4.8076 4.8076 4.8076
angles: 90.00 90.00 90.00
With the nearest neighbours (Å) after each atom.
Space group Pm-3m (No. 221)
Unique sites:
Ga: 0.0000 0.0000 0.5000 (multiplicity 3)  2 Os 2.40
Os: 0.0000 0.0000 0.0000 (multiplicity 1)  6 Ga 2.40
S: 0.5000 0.5000 0.5000 (multiplicity 1)  12 Ga 3.40

Entry 5:
Compound: GaOsS3
Source: the Alexandria database
Functional: GGA-PBE
Structure: relaxed

Summary:
Raw formation energy in eV/f.u.: 1.892
ρ in g/cm3: 5.76
Polymorph energy (0 for the lowest one) in meV/atom: 0

abc: 4.6837 4.6837 4.6837
angles: 90.00 90.00 90.00
With the nearest neighbours (Å) after each atom.
Space group Pm-3m (No. 221)
Unique sites:
Ga: 0.0000 0.0000 0.0000 (multiplicity 1)  12 S 3.31
Os: 0.5000 0.5000 0.5000 (multiplicity 1)  6 S 2.34
S: 0.0000 0.5000 0.5000 (multiplicity 3)  2 Os 2.34

Entry 6:
Compound: Ga2OsS
Source: the Alexandria database
Functional: GGA-PBE
Structure: relaxed

Summary:
Raw formation energy in eV/f.u.: 1.791
ρ in g/cm3: 6.68

abc: 5.6880 5.6880 11.1135
angles: 90.00 90.00 90.00
With the nearest neighbours (Å) after each atom.
Space group I-42d (No. 122)
Unique sites:
Ga: 0.2439 0.2500 0.1250 (multiplicity 8)  2 Os 2.42, 2 S 2.46
Os: 0.0000 0.0000 0.0000 (multiplicity 4)  4 Ga 2.42
S: 0.0000 0.0000 0.5000 (multiplicity 4)  4 Ga 2.46

Entry 7:
Compound: GaOsSeS2
Source: the Alexandria database
Functional: GGA-PBE
Structure: relaxed

Summary:
Raw formation energy in eV/f.u.: 5.960
ρ in g/cm3: 5.78

abc: 5.0106 5.0106 4.6155
angles: 90.00 90.00 90.00
With the nearest neighbours (Å) after each atom.
Space group P4/mmm (No. 123)
Unique sites:
Ga: 0.0000 0.0000 0.0000 (multiplicity 1)  8 S 3.41, 4 Os 3.54
Os: 0.5000 0.5000 0.0000 (multiplicity 1)  2 Se 2.31
Se: 0.5000 0.5000 0.5000 (multiplicity 1)  2 Os 2.31, 4 S 2.51
S: 0.0000 0.5000 0.5000 (multiplicity 2)  2 Se 2.51

Entry 8:
Compound: GaSiOsS2
Source: the Alexandria database
Functional: GGA-PBE
Structure: relaxed

Summary:
Raw formation energy in eV/f.u.: 6.182
ρ in g/cm3: 6.48

abc: 4.4666 4.4666 4.5201
angles: 90.00 90.00 90.00
With the nearest neighbours (Å) after each atom.
Space group P4/mmm (No. 123)
Unique sites:
Ga: 0.0000 0.0000 0.0000 (multiplicity 1)  2 Si 2.26
Si: 0.0000 0.0000 0.5000 (multiplicity 1)  4 S 2.23, 2 Ga 2.26
Os: 0.5000 0.5000 0.0000 (multiplicity 1)  4 Ga 3.16, 8 S 3.18
S: 0.0000 0.5000 0.5000 (multiplicity 2)  2 Si 2.23

Copy entry 2 word for word.
Compound: Ga3OsS
Source: the Alexandria database
Functional: GGA-PBE
Structure: relaxed

Summary:
Raw formation energy in eV/f.u.: 5.488
ρ in g/cm3: 7.29
Polymorph energy (0 for the lowest one) in meV/atom: 821

abc: 4.6152 4.6152 4.6152
angles: 90.00 90.00 90.00
With the nearest neighbours (Å) after each atom.
Space group Pm-3m (No. 221)
Unique sites:
Ga: 0.0000 0.0000 0.5000 (multiplicity 3)  2 S 2.31
Os: 0.5000 0.5000 0.5000 (multiplicity 1)  12 Ga 3.26
S: 0.0000 0.0000 0.0000 (multiplicity 1)  6 Ga 2.31

Question: Look up the ρ of the eighth one.
Answer: 6.48 g/cm3

Question: The highest ρ belongs to which entry?
Answer: GaOsS

Question: Among the records above, which one has the lowest ρ?
Answer: GaOsS3